The following is a GGA-PBE calculation of NiAg2Sn2 after structural relaxation, from Alexandria.

Output
* total energy: -37.50 eV per cell
* magnetic moment: 0.00 μB per atom
* energy of formation from the pure elements: 0.148 eV per atom

a = 6.788 Å, b = 6.788 Å, c = 4.491 Å
α = 90.00°, β = 90.00°, γ = 90.00°
Space group P4/mbm (No. 127)
One atom of each set of equivalent atoms:
Ni1 0.000 0.000 0.000 [2 per cell]
Ag1 0.151 0.349 0.500 [4 per cell]
Sn1 0.160 0.660 0.000 [4 per cell]

=====

The following is a GGA-PBE calculation of SrNiAgSn2 after structural relaxation, from Alexandria.

Output
* total energy: -19.34 eV per cell
* magnetic moment: 0.00 μB per atom
* energy of formation from the pure elements: -0.203 eV per atom

a = 4.957 Å, b = 4.957 Å, c = 5.135 Å
α = 90.00°, β = 90.00°, γ = 90.00°
Space group P4/mmm (No. 123)
One atom of each set of equivalent atoms:
Sr1 0.000 0.000 0.000 [1 per cell]
Ni1 0.500 0.500 0.500 [1 per cell]
Ag1 0.500 0.500 0.000 [1 per cell]
Sn1 0.000 0.500 0.500 [2 per cell]